Material: CsCeAg2F8
Method: DFT, GGA-PBE
State: relaxed

Summary:
**Final energy**: -4.66 eV/atom
**Fermi-level density of states**: 11.132 states/eV/cell
**Uncorrected formation energy**: -2374 meV per atom
**Mass density**: 3.7 Mg/m³
**V**: 287 Å³/cell

Cell: 6.2058 6.2058 8.5990 Å, 90.00 90.00 120.00°
Last column: nearest neighbours and their distance in Å.
Space group P-3m1 (No. 164)
Asymmetric unit:
Cs1 0.0000 0.0000 0.0000 x1  12 F 3.36-3.61
Ce1 0.0000 0.0000 0.5000 x1  6 F 2.18
Ag1 0.3333 0.6667 0.1923 x2  4 F 2.06-2.28
F1 0.1559 0.3118 0.3385 x6  1 Ce 2.18, 1 Ag 2.28
F2 0.3333 0.6667 0.9524 x2  1 Ag 2.06